Computed, not measured: a relaxed Nd2Dy2Er5 crystal at the PBE level of DFT.

Structure (extended XYZ):
```
18
Lattice="-2.5848 -9.4108 6.5119 4.9375 1.5950 4.2649 -5.9530 7.9899 -1.3852" Properties=species:S:1:pos:R:3 pbc="T T T"
Nd 1.5536 1.9653 3.3722
Nd -4.5779 -1.6050 6.5170
Nd -2.2282 -3.6130 4.5478
Nd -0.7961 3.9732 5.3414
Dy 0.0507 0.0164 0.0438
Dy 1.2270 -3.8915 5.4322
Dy -1.8824 2.0990 2.5461
Dy -0.6425 -1.5774 7.7745
Er -2.6157 6.2696 2.8806
Er 1.0666 -5.4327 8.2829
Er -5.0495 5.5992 0.6602
Er -1.4370 -6.3574 6.2384
Er -2.5290 -1.2320 2.1984
Er -2.1824 1.0472 6.2334
Er -0.1341 -0.7032 4.5168
Er -4.5774 0.5184 3.9150
Er 0.2760 5.0286 2.1344
Er -4.7672 -5.1422 6.4878
```

Calculated values
- Energy relative to the elements: 20.7 kJ/mol of atoms
- Size of the total moment: 0.003 μB/cell
- Space group: Ima2
- E above lowest polymorph: 0 meV per atom
- Density: 8.2 g/cm³